Material: AlTeI2Br
Method: DFT, meta-GGA SCAN
State: single point on PBEsol structure

The structure belongs to space group P4/mmm (No. 123); the cell edges are 5.324, 5.324 and 5.503 Å and the angles 90.00°, 90.00° and 90.00°. The asymmetric unit holds Al at (0.000, 0.000, 0.000), Te at (0.000, 0.000, 0.500), I at (0.000, 0.500, 0.000) and Br at (0.500, 0.500, 0.500).

The calculation puts the magnetic moment at 0.00 μB/cell. For the density of states at the Fermi level, the calculation gives 0.882 states/eV per atom. Its uncorrected formation energy is 85.7 meV per atom. For the total energy, the calculation gives -27.5034 eV/atom.